[1]
# CaDy5Sb6

CaDy5Sb6 after structural relaxation (PBE, the Alexandria database).

Cell and atoms, written as POSCAR:
```
CaDy5Sb6
1.0
3.815 -6.616 0.000
3.815 6.616 0.000
-2.548 0.000 7.202
Ca Dy Sb
1 5 6
Direct
0.000 0.000 0.000
0.165 0.835 0.500
0.332 0.668 0.000
0.500 0.500 0.500
0.668 0.332 0.000
0.835 0.165 0.500
0.085 0.423 0.253
0.255 0.255 0.748
0.423 0.085 0.253
0.577 0.915 0.747
0.745 0.745 0.252
0.915 0.577 0.747
```

## Properties
* energy relative to the elements, uncorrected: -1.074 eV/atom

---

[2]
# NaSbPdO4

NaSbPdO4 after structural relaxation (PBE, the Alexandria database).

Cell and atoms, written as POSCAR:
```
NaSbPdO4
1.0
-2.989 3.050 5.364
2.989 -3.050 5.364
2.989 3.050 -5.364
Na Sb Pd O
2 2 2 8
Direct
0.412 0.162 0.250
0.588 0.838 0.750
0.000 0.500 0.500
0.500 0.500 0.000
0.000 0.000 0.500
0.000 0.500 0.000
0.157 0.692 0.466
0.268 0.297 0.529
0.268 0.739 0.971
0.274 0.308 0.966
0.726 0.692 0.034
0.732 0.261 0.029
0.732 0.703 0.471
0.843 0.308 0.534
```

## Properties
* energy relative to the elements, uncorrected: -1.199 eV/atom

---

[3]
# OsAuCl2

OsAuCl2 after structural relaxation (PBE, the Alexandria database).

Cell and atoms, written as POSCAR:
```
OsAuCl2
1.0
2.878 0.000 0.000
0.000 4.476 0.000
0.000 0.000 13.053
Os Au Cl
2 2 4
Direct
0.000 0.000 0.000
0.500 0.500 0.500
0.000 0.500 0.679
0.500 0.000 0.179
0.000 0.000 0.511
0.000 0.500 0.353
0.500 0.000 0.853
0.500 0.500 0.011
```

## Properties
* energy above the lowest structure with this stoichiometry: 388 meV/atom
* energy relative to the elements, uncorrected: 0.610 eV/atom

---

[4]
# ScTcSe3

ScTcSe3 after structural relaxation (PBE, the Alexandria database).

Cell and atoms, written as POSCAR:
```
ScTcSe3
1.0
4.916 0.000 0.000
0.000 4.916 0.000
0.000 0.000 4.916
Sc Tc Se
1 1 3
Direct
0.000 0.000 0.000
0.500 0.500 0.500
0.000 0.500 0.500
0.500 0.000 0.500
0.500 0.500 0.000
```

## Properties
* energy above the lowest structure with this stoichiometry: 0 meV/atom
* energy relative to the elements, uncorrected: -0.037 eV/atom

---

[5]
# NbV2GaH

NbV2GaH after structural relaxation (PBE, the Alexandria database).

Cell and atoms, written as POSCAR:
```
NbV2GaH
1.0
3.773 0.000 0.000
0.000 3.773 0.000
0.000 0.000 4.403
Nb V Ga H
1 2 1 1
Direct
0.000 0.000 0.000
0.000 0.500 0.500
0.500 0.000 0.500
0.500 0.500 0.000
0.500 0.500 0.500
```

## Properties
* energy above the lowest structure with this stoichiometry: 101 meV/atom

---

[6]
# AlReTe

AlReTe after structural relaxation (PBE, the Alexandria database).

Cell and atoms, written as POSCAR:
```
AlReTe
1.0
3.150 0.000 0.000
0.000 5.121 0.000
0.000 0.000 14.328
Al Re Te
4 4 4
Direct
0.000 0.000 0.000
0.000 0.500 0.500
0.500 0.000 0.500
0.500 0.500 0.000
0.000 0.000 0.357
0.000 0.500 0.857
0.500 0.000 0.857
0.500 0.500 0.357
0.000 0.000 0.699
0.000 0.500 0.199
0.500 0.000 0.199
0.500 0.500 0.699
```

## Properties
* energy above the lowest structure with this stoichiometry: 355 meV/atom
* energy relative to the elements, uncorrected: 0.659 eV/atom

---

[7]
# AgHgTe2

AgHgTe2 after structural relaxation (PBE, the Alexandria database).

Cell and atoms, written as POSCAR:
```
AgHgTe2
1.0
7.999 0.000 0.000
0.000 4.222 0.000
-2.148 0.000 6.859
Ag Hg Te
2 2 4
Direct
0.000 0.000 0.000
0.500 0.500 0.000
0.000 0.500 0.500
0.500 0.000 0.500
0.188 0.500 0.233
0.312 0.000 0.767
0.688 0.000 0.233
0.812 0.500 0.767
```

## Properties
* energy relative to the elements, uncorrected: -0.029 eV/atom

---

[8]
# ScGa3Pd2

ScGa3Pd2 after structural relaxation (PBE, the Alexandria database).

Cell and atoms, written as POSCAR:
```
ScGa3Pd2
1.0
-2.118 3.751 6.570
2.118 -3.751 6.570
2.118 3.751 -6.570
Sc Ga Pd
2 6 4
Direct
0.129 0.129 0.000
0.871 0.871 0.000
0.108 0.320 0.788
0.337 0.000 0.337
0.468 0.680 0.788
0.532 0.320 0.212
0.663 0.000 0.663
0.892 0.680 0.212
0.175 0.500 0.675
0.306 0.806 0.500
0.694 0.194 0.500
0.825 0.500 0.325
```

---

[9]
# TbYCoCu

TbYCoCu after structural relaxation (PBE, the Alexandria database).

Cell and atoms, written as POSCAR:
```
TbYCoCu
1.0
6.833 0.000 0.000
0.000 6.833 0.000
0.000 0.000 6.833
Tb Y Co Cu
4 4 4 4
Direct
0.000 0.000 0.000
0.000 0.500 0.500
0.500 0.000 0.500
0.500 0.500 0.000
0.000 0.000 0.500
0.000 0.500 0.000
0.500 0.000 0.000
0.500 0.500 0.500
0.250 0.250 0.250
0.250 0.750 0.750
0.750 0.250 0.750
0.750 0.750 0.250
0.250 0.250 0.750
0.250 0.750 0.250
0.750 0.250 0.250
0.750 0.750 0.750
```

## Properties
* energy above the lowest structure with this stoichiometry: 34 meV/atom

---

[10]
# ZrTe2MoN

ZrTe2MoN after structural relaxation (PBE, the Alexandria database).

Cell and atoms, written as POSCAR:
```
ZrTe2MoN
1.0
5.727 0.000 0.000
0.000 5.727 0.000
0.000 0.000 3.976
Zr Te Mo N
1 2 1 1
Direct
0.000 0.000 0.000
0.000 0.500 0.000
0.500 0.000 0.000
0.500 0.500 0.500
0.000 0.000 0.500
```

## Properties
* energy above the lowest structure with this stoichiometry: 399 meV/atom
* energy relative to the elements, uncorrected: 0.571 eV/atom

---

[11]
# Li2ScPdO4

Li2ScPdO4 after structural relaxation (PBE, the Alexandria database).

Cell and atoms, written as POSCAR:
```
Li2ScPdO4
1.0
5.186 0.000 0.000
0.000 3.165 0.000
-1.606 0.000 5.018
Li Sc Pd O
2 1 1 4
Direct
0.000 0.000 0.000
0.500 0.500 0.000
0.000 0.500 0.500
0.500 0.000 0.500
0.239 0.000 0.729
0.249 0.500 0.250
0.751 0.500 0.750
0.761 0.000 0.271
```

## Properties
* energy relative to the elements, uncorrected: -1.924 eV/atom

---

[12]
# Li2ZnAu2

Li2ZnAu2 after structural relaxation (PBE, the Alexandria database).

Cell and atoms, written as POSCAR:
```
Li2ZnAu2
1.0
-3.003 5.474 2.522
3.003 -5.474 2.522
3.003 5.474 -2.522
Li Zn Au
4 2 4
Direct
0.097 0.142 0.240
0.403 0.642 0.045
0.597 0.358 0.955
0.903 0.858 0.760
0.250 0.750 0.500
0.750 0.250 0.500
0.171 0.727 0.898
0.329 0.227 0.556
0.671 0.773 0.444
0.829 0.273 0.102
```

## Properties
* energy above the lowest structure with this stoichiometry: 121 meV/atom

---

[13]
# Pu2ScSn9

Pu2ScSn9 after structural relaxation (PBE, the Alexandria database).

Cell and atoms, written as POSCAR:
```
Pu2ScSn9
1.0
4.620 0.000 0.000
0.000 4.620 0.000
0.000 0.000 13.641
Pu Sc Sn
2 1 9
Direct
0.000 0.000 0.165
0.000 0.000 0.835
0.000 0.000 0.500
0.000 0.500 0.000
0.000 0.500 0.334
0.000 0.500 0.666
0.500 0.000 0.000
0.500 0.000 0.334
0.500 0.000 0.666
0.500 0.500 0.167
0.500 0.500 0.500
0.500 0.500 0.833
```

---

Respective calculated total energy values: -5.219, -5.552, -3.940, -5.468, -7.031, -5.785, -2.388, -4.926, -5.747, -6.226, -6.322, -2.656, -5.883 eV per atom.
Respective total magnetization values: 0.000, 0.000, 0.000, 0.488, 0.000, 0.000, 0.000, 0.000, 0.090, 0.696, 0.123, 0.000, 0.005 μB/atom.